A.
# Ca2TlRe (PBE, optimized geometry)
# ρ = 7.9 g cm⁻³
# DOS(E_F) = 9.5 states/eV/cell
data_Ca2TlRe
_chemical_formula_sum 'Ca6 Tl3 Re3'
_space_group_name_H-M_alt 'R -3 m'
_space_group_IT_number 166
_space_group_name_Hall '-R 3 2"'
_cell_length_a 3.3381
_cell_length_b 3.3381
_cell_length_c 30.5871
_cell_angle_alpha 90.00
_cell_angle_beta 90.00
_cell_angle_gamma 120.00
loop_
_atom_site_label
_atom_site_type_symbol
_atom_site_fract_x
_atom_site_fract_y
_atom_site_fract_z
Ca1 Ca 0.0000 0.0000 0.2416
Tl1 Tl 0.0000 0.0000 0.0000
Re1 Re 0.0000 0.0000 0.5000


B.
# Ca2TlRe (PBE, optimized geometry)
# ρ = 7.9 g cm⁻³
# DOS(E_F) = 4.0 states/eV/cell
data_Ca2TlRe
_chemical_formula_sum 'Ca4 Tl2 Re2'
_space_group_name_H-M_alt 'C 1 m 1'
_space_group_IT_number 8
_space_group_name_Hall 'C -2y'
_cell_length_a 11.688
_cell_length_b 3.102
_cell_length_c 5.630
_cell_angle_alpha 90.00
_cell_angle_beta 105.14
_cell_angle_gamma 90.00
loop_
_atom_site_label
_atom_site_type_symbol
_atom_site_fract_x
_atom_site_fract_y
_atom_site_fract_z
Ca1 Ca 0.000 0.000 0.000
Ca2 Ca 0.188 0.000 0.625
Tl1 Tl 0.260 0.500 0.169
Re1 Re 0.444 0.000 0.481


Most stable structure: B


A.
# Ca2TlRe (PBE, optimized geometry)
# ρ = 7.7 g cm⁻³
# DOS(E_F) = 15.0 states/eV/cell
data_Ca2TlRe
_chemical_formula_sum 'Ca8 Tl4 Re4'
_space_group_name_H-M_alt 'I -4 2 d'
_space_group_IT_number 122
_space_group_name_Hall 'I -4 2bw'
_cell_length_a 4.403
_cell_length_b 4.403
_cell_length_c 21.050
_cell_angle_alpha 90.00
_cell_angle_beta 90.00
_cell_angle_gamma 90.00
loop_
_atom_site_label
_atom_site_type_symbol
_atom_site_fract_x
_atom_site_fract_y
_atom_site_fract_z
Ca1 Ca 0.235 0.250 0.125
Tl1 Tl 0.000 0.000 0.500
Re1 Re 0.000 0.000 0.000


B.
# Ca2TlRe (PBE, optimized geometry)
# ρ = 8.2 g cm⁻³
# DOS(E_F) = 4.0 states/eV/cell
data_Ca2TlRe
_chemical_formula_sum 'Ca2 Tl1 Re1'
_space_group_name_H-M_alt 'P 4/m m m'
_space_group_IT_number 123
_space_group_name_Hall '-P 4 2'
_cell_length_a 4.591
_cell_length_b 4.591
_cell_length_c 4.510
_cell_angle_alpha 90.00
_cell_angle_beta 90.00
_cell_angle_gamma 90.00
loop_
_atom_site_label
_atom_site_type_symbol
_atom_site_fract_x
_atom_site_fract_y
_atom_site_fract_z
Ca1 Ca 0.000 0.500 0.000
Tl1 Tl 0.000 0.000 0.500
Re1 Re 0.500 0.500 0.500


Most stable structure: B


A.
# Ca2TlRe (PBE, optimized geometry)
# ρ = 7.2 g cm⁻³
# DOS(E_F) = 2.1 states/eV/cell
data_Ca2TlRe
_chemical_formula_sum 'Ca2 Tl1 Re1'
_space_group_name_H-M_alt 'P 4 m m'
_space_group_IT_number 99
_space_group_name_Hall 'P 4 -2'
_cell_length_a 3.644
_cell_length_b 3.644
_cell_length_c 8.153
_cell_angle_alpha 90.00
_cell_angle_beta 90.00
_cell_angle_gamma 90.00
loop_
_atom_site_label
_atom_site_type_symbol
_atom_site_fract_x
_atom_site_fract_y
_atom_site_fract_z
Ca1 Ca 0.000 0.000 0.000
Ca2 Ca 0.500 0.500 0.386
Tl1 Tl 0.500 0.500 0.764
Re1 Re 0.000 0.000 0.619


B.
# Ca2TlRe (PBE, optimized geometry)
# ρ = 8.3 g cm⁻³
# DOS(E_F) = 6.1 states/eV/cell
data_Ca2TlRe
_chemical_formula_sum 'Ca4 Tl2 Re2'
_space_group_name_H-M_alt 'C m m m'
_space_group_IT_number 65
_space_group_name_Hall '-C 2 2'
_cell_length_a 6.864
_cell_length_b 8.986
_cell_length_c 3.071
_cell_angle_alpha 90.00
_cell_angle_beta 90.00
_cell_angle_gamma 90.00
loop_
_atom_site_label
_atom_site_type_symbol
_atom_site_fract_x
_atom_site_fract_y
_atom_site_fract_z
Ca1 Ca 0.250 0.250 0.000
Tl1 Tl 0.000 0.000 0.500
Re1 Re 0.000 0.500 0.500


Most stable structure: A


A.
# Ca2TlRe2 (PBE, optimized geometry)
# ρ = 9.4 g cm⁻³
# DOS(E_F) = 9.0 states/eV/cell
data_Ca2TlRe2
_chemical_formula_sum 'Ca4 Tl2 Re4'
_space_group_name_H-M_alt 'P 4/m b m'
_space_group_IT_number 127
_space_group_name_Hall '-P 4 2ab'
_cell_length_a 9.214
_cell_length_b 9.214
_cell_length_c 2.743
_cell_angle_alpha 90.00
_cell_angle_beta 90.00
_cell_angle_gamma 90.00
loop_
_atom_site_label
_atom_site_type_symbol
_atom_site_fract_x
_atom_site_fract_y
_atom_site_fract_z
Ca1 Ca 0.128 0.372 0.000
Tl1 Tl 0.000 0.000 0.000
Re1 Re 0.171 0.671 0.500


B.
# Ca2TlRe2 (PBE, optimized geometry)
# ρ = 9.2 g cm⁻³
# DOS(E_F) = 11.0 states/eV/cell
data_Ca2TlRe2
_chemical_formula_sum 'Ca4 Tl2 Re4'
_space_group_name_H-M_alt 'P 4/m b m'
_space_group_IT_number 127
_space_group_name_Hall '-P 4 2ab'
_cell_length_a 7.057
_cell_length_b 7.057
_cell_length_c 4.776
_cell_angle_alpha 90.00
_cell_angle_beta 90.00
_cell_angle_gamma 90.00
loop_
_atom_site_label
_atom_site_type_symbol
_atom_site_fract_x
_atom_site_fract_y
_atom_site_fract_z
Ca1 Ca 0.172 0.328 0.000
Tl1 Tl 0.000 0.000 0.500
Re1 Re 0.115 0.615 0.500


C.
# Ca2TlRe2 (PBE, optimized geometry)
# ρ = 8.5 g cm⁻³
# DOS(E_F) = 9.1 states/eV/cell
data_Ca2TlRe2
_chemical_formula_sum 'Ca4 Tl2 Re4'
_space_group_name_H-M_alt 'I 4/m m m'
_space_group_IT_number 139
_space_group_name_Hall '-I 4 2'
_cell_length_a 3.561
_cell_length_b 3.561
_cell_length_c 20.154
_cell_angle_alpha 90.00
_cell_angle_beta 90.00
_cell_angle_gamma 90.00
loop_
_atom_site_label
_atom_site_type_symbol
_atom_site_fract_x
_atom_site_fract_y
_atom_site_fract_z
Ca1 Ca 0.000 0.000 0.119
Tl1 Tl 0.000 0.000 0.500
Re1 Re 0.000 0.500 0.250


Most stable structure: C


A.
# CaTlRe2 (PBE, optimized geometry)
# ρ = 12.2 g cm⁻³
# DOS(E_F) = 6.9 states/eV/cell
data_CaTlRe2
_chemical_formula_sum 'Ca2 Tl2 Re4'
_space_group_name_H-M_alt 'I m m 2'
_space_group_IT_number 44
_space_group_name_Hall 'I 2 -2'
_cell_length_a 3.807
_cell_length_b 4.935
_cell_length_c 8.903
_cell_angle_alpha 90.00
_cell_angle_beta 90.00
_cell_angle_gamma 90.00
loop_
_atom_site_label
_atom_site_type_symbol
_atom_site_fract_x
_atom_site_fract_y
_atom_site_fract_z
Ca1 Ca 0.000 0.000 0.000
Tl1 Tl 0.000 0.500 0.781
Re1 Re 0.000 0.000 0.548
Re2 Re 0.000 0.500 0.218


B.
# CaTlRe2 (PBE, optimized geometry)
# ρ = 13.3 g cm⁻³
# DOS(E_F) = 8.2 states/eV/cell
data_CaTlRe2
_chemical_formula_sum 'Ca2 Tl2 Re4'
_space_group_name_H-M_alt 'I 4/m m m'
_space_group_IT_number 139
_space_group_name_Hall '-I 4 2'
_cell_length_a 3.991
_cell_length_b 3.991
_cell_length_c 9.662
_cell_angle_alpha 90.00
_cell_angle_beta 90.00
_cell_angle_gamma 90.00
loop_
_atom_site_label
_atom_site_type_symbol
_atom_site_fract_x
_atom_site_fract_y
_atom_site_fract_z
Ca1 Ca 0.000 0.000 0.000
Tl1 Tl 0.000 0.000 0.500
Re1 Re 0.000 0.500 0.250


C.
# CaTlRe2 (PBE, optimized geometry)
# ρ = 13.1 g cm⁻³
# DOS(E_F) = 3.9 states/eV/cell
data_CaTlRe2
_chemical_formula_sum 'Ca1 Tl1 Re2'
_space_group_name_H-M_alt 'P 4/m m m'
_space_group_IT_number 123
_space_group_name_Hall '-P 4 2'
_cell_length_a 2.790
_cell_length_b 2.790
_cell_length_c 10.047
_cell_angle_alpha 90.00
_cell_angle_beta 90.00
_cell_angle_gamma 90.00
loop_
_atom_site_label
_atom_site_type_symbol
_atom_site_fract_x
_atom_site_fract_y
_atom_site_fract_z
Ca1 Ca 0.000 0.000 0.000
Tl1 Tl 0.000 0.000 0.500
Re1 Re 0.500 0.500 0.249


D.
# CaTlRe2 (PBE, optimized geometry)
# ρ = 12.9 g cm⁻³
# DOS(E_F) = 2.7 states/eV/cell
data_CaTlRe2
_chemical_formula_sum 'Ca1 Tl1 Re2'
_space_group_name_H-M_alt 'P 1 2/m 1'
_space_group_IT_number 10
_space_group_name_Hall '-P 2y'
_cell_length_a 2.874
_cell_length_b 5.093
_cell_length_c 5.440
_cell_angle_alpha 90.00
_cell_angle_beta 94.10
_cell_angle_gamma 90.00
loop_
_atom_site_label
_atom_site_type_symbol
_atom_site_fract_x
_atom_site_fract_y
_atom_site_fract_z
Ca1 Ca 0.000 0.000 0.000
Tl1 Tl 0.500 0.000 0.500
Re1 Re 0.371 0.500 0.783


Most stable structure: A


A.
# CaTlRe2 (PBE, optimized geometry)
# ρ = 13.4 g cm⁻³
# DOS(E_F) = 6.1 states/eV/cell
data_CaTlRe2
_chemical_formula_sum 'Ca2 Tl2 Re4'
_space_group_name_H-M_alt 'C m m m'
_space_group_IT_number 65
_space_group_name_Hall '-C 2 2'
_cell_length_a 3.374
_cell_length_b 4.578
_cell_length_c 9.903
_cell_angle_alpha 90.00
_cell_angle_beta 90.00
_cell_angle_gamma 90.00
loop_
_atom_site_label
_atom_site_type_symbol
_atom_site_fract_x
_atom_site_fract_y
_atom_site_fract_z
Ca1 Ca 0.000 0.000 0.000
Tl1 Tl 0.000 0.000 0.500
Re1 Re 0.000 0.500 0.255


B.
# CaTlRe2 (PBE, optimized geometry)
# ρ = 13.8 g cm⁻³
# DOS(E_F) = 11.3 states/eV/cell
data_CaTlRe2
_chemical_formula_sum 'Ca4 Tl4 Re8'
_space_group_name_H-M_alt 'F -4 3 m'
_space_group_IT_number 216
_space_group_name_Hall 'F -4 2 3'
_cell_length_a 6.678
_cell_length_b 6.678
_cell_length_c 6.678
_cell_angle_alpha 90.00
_cell_angle_beta 90.00
_cell_angle_gamma 90.00
loop_
_atom_site_label
_atom_site_type_symbol
_atom_site_fract_x
_atom_site_fract_y
_atom_site_fract_z
Ca1 Ca 0.000 0.000 0.000
Tl1 Tl 0.250 0.250 0.250
Re1 Re 0.000 0.000 0.500
Re2 Re 0.250 0.250 0.750


Most stable structure: B


A.
# CaTlRe2 (PBE, optimized geometry)
# ρ = 11.1 g cm⁻³
# DOS(E_F) = 6.8 states/eV/cell
data_CaTlRe2
_chemical_formula_sum 'Ca2 Tl2 Re4'
_space_group_name_H-M_alt 'C 1 2/m 1'
_space_group_IT_number 12
_space_group_name_Hall '-C 2y'
_cell_length_a 10.278
_cell_length_b 3.754
_cell_length_c 5.110
_cell_angle_alpha 90.00
_cell_angle_beta 110.96
_cell_angle_gamma 90.00
loop_
_atom_site_label
_atom_site_type_symbol
_atom_site_fract_x
_atom_site_fract_y
_atom_site_fract_z
Ca1 Ca 0.000 0.000 0.000
Tl1 Tl 0.000 0.500 0.500
Re1 Re 0.241 0.000 0.636


B.
# CaTlRe2 (PBE, optimized geometry)
# ρ = 13.4 g cm⁻³
# DOS(E_F) = 16.7 states/eV/cell
data_CaTlRe2
_chemical_formula_sum 'Ca3 Tl3 Re6'
_space_group_name_H-M_alt 'R -3 m'
_space_group_IT_number 166
_space_group_name_Hall '-R 3 2"'
_cell_length_a 2.9744
_cell_length_b 2.9744
_cell_length_c 29.9361
_cell_angle_alpha 90.00
_cell_angle_beta 90.00
_cell_angle_gamma 120.00
loop_
_atom_site_label
_atom_site_type_symbol
_atom_site_fract_x
_atom_site_fract_y
_atom_site_fract_z
Ca1 Ca 0.0000 0.0000 0.0000
Tl1 Tl 0.0000 0.0000 0.5000
Re1 Re 0.0000 0.0000 0.2475


C.
# CaTlRe2 (PBE, optimized geometry)
# ρ = 11.7 g cm⁻³
# DOS(E_F) = 15.3 states/eV/cell
data_CaTlRe2
_chemical_formula_sum 'Ca4 Tl4 Re8'
_space_group_name_H-M_alt 'I -4 2 d'
_space_group_IT_number 122
_space_group_name_Hall 'I -4 2bw'
_cell_length_a 8.103
_cell_length_b 8.103
_cell_length_c 5.332
_cell_angle_alpha 90.00
_cell_angle_beta 90.00
_cell_angle_gamma 90.00
loop_
_atom_site_label
_atom_site_type_symbol
_atom_site_fract_x
_atom_site_fract_y
_atom_site_fract_z
Ca1 Ca 0.000 0.000 0.000
Tl1 Tl 0.000 0.000 0.500
Re1 Re 0.216 0.250 0.625


D.
# CaTlRe2 (PBE, optimized geometry)
# ρ = 13.6 g cm⁻³
# DOS(E_F) = 6.7 states/eV/cell
data_CaTlRe2
_chemical_formula_sum 'Ca2 Tl2 Re4'
_space_group_name_H-M_alt 'C 1 2/m 1'
_space_group_IT_number 12
_space_group_name_Hall '-C 2y'
_cell_length_a 5.741
_cell_length_b 10.058
_cell_length_c 2.819
_cell_angle_alpha 90.00
_cell_angle_beta 112.39
_cell_angle_gamma 90.00
loop_
_atom_site_label
_atom_site_type_symbol
_atom_site_fract_x
_atom_site_fract_y
_atom_site_fract_z
Ca1 Ca 0.000 0.000 0.000
Tl1 Tl 0.000 0.500 0.000
Re1 Re 0.250 0.250 0.500


Most stable structure: A


A.
# CaTlRe2 (PBE, optimized geometry)
# ρ = 12.3 g cm⁻³
# DOS(E_F) = 4.6 states/eV/cell
data_CaTlRe2
_chemical_formula_sum 'Ca1 Tl1 Re2'
_space_group_name_H-M_alt 'P m m m'
_space_group_IT_number 47
_space_group_name_Hall '-P 2 2'
_cell_length_a 2.891
_cell_length_b 4.717
_cell_length_c 6.131
_cell_angle_alpha 90.00
_cell_angle_beta 90.00
_cell_angle_gamma 90.00
loop_
_atom_site_label
_atom_site_type_symbol
_atom_site_fract_x
_atom_site_fract_y
_atom_site_fract_z
Ca1 Ca 0.000 0.000 0.000
Tl1 Tl 0.000 0.000 0.500
Re1 Re 0.500 0.500 0.307


B.
# CaTlRe2 (PBE, optimized geometry)
# ρ = 12.4 g cm⁻³
# DOS(E_F) = 2.6 states/eV/cell
data_CaTlRe2
_chemical_formula_sum 'Ca1 Tl1 Re2'
_space_group_name_H-M_alt 'P 4 m m'
_space_group_IT_number 99
_space_group_name_Hall 'P 4 -2'
_cell_length_a 3.137
_cell_length_b 3.137
_cell_length_c 8.420
_cell_angle_alpha 90.00
_cell_angle_beta 90.00
_cell_angle_gamma 90.00
loop_
_atom_site_label
_atom_site_type_symbol
_atom_site_fract_x
_atom_site_fract_y
_atom_site_fract_z
Ca1 Ca 0.000 0.000 0.000
Tl1 Tl 0.500 0.500 0.691
Re1 Re 0.000 0.000 0.424
Re2 Re 0.500 0.500 0.271


Most stable structure: B